VASP calculation (PBE-GGA) on Lu2SnPb after structural relaxation.

a b c (Å): 3.4752 3.4752 8.7057
angles (deg): 90.00 90.00 90.00
Closest atoms and distances in Å follow each position.
Fractional positions:
Pb (0.5000, 0.5000, 0.5000)  8 Lu 3.33, 4 Pb 3.48
Lu (0.0000, 0.0000, 0.7577)  4 Sn 3.24, 4 Pb 3.33, 4 Lu 3.48
Lu (0.0000, 0.0000, 0.2423)  4 Sn 3.24, 4 Pb 3.33, 4 Lu 3.48
Sn (0.5000, 0.5000, 0.0000)  8 Lu 3.24, 4 Sn 3.48

Spin magnetization (Bohr magnetons per cell): 0.0
Space-group type: No. 123
ΔE to the lowest computed polymorph (eV per formula unit): 0.00
Formation energy (eV per formula unit): -1.74

***

VASP calculation (PBE-GGA) on Nd5YGa5 after structural relaxation.

a b c (Å): 5.7733 8.2930 7.0043
angles (deg): 100.28 90.00 110.37
Closest atoms and distances in Å follow each position.
Fractional positions:
Nd (0.6399, 0.2798, 0.3952)  5 Ga 2.99-3.33
Nd (0.6799, 0.3597, 0.8990)  5 Ga 3.01-3.17
Nd (0.0000, 0.0000, 0.5000)  4 Ga 2.92-3.12
Nd (0.3201, 0.6403, 0.1010)  5 Ga 3.01-3.17
Nd (0.3601, 0.7202, 0.6048)  5 Ga 2.99-3.33
Y (0.0000, 0.0000, 0.0000)  4 Ga 2.89-3.02
Ga (0.8195, 0.6390, 0.2862)  1 Ga 2.81, 3 Nd 2.92-3.13
Ga (0.8349, 0.6698, 0.6921)  1 Ga 2.81, 4 Nd 2.99-3.12, 1 Y 3.02
Ga (0.5000, 0.0000, 0.0000)  2 Y 2.89, 4 Nd 3.01-3.18
Ga (0.1651, 0.3302, 0.3079)  1 Ga 2.81, 4 Nd 2.99-3.12, 1 Y 3.02
Ga (0.1805, 0.3610, 0.7138)  1 Ga 2.81, 3 Nd 2.92-3.13

Spin magnetization (Bohr magnetons per cell): 0.0
Space-group type: No. 12
Formation energy (eV per formula unit): -3.58

***

VASP calculation (PBE-GGA) on LiTlW2 after structural relaxation.

a b c (Å): 2.7565 4.2487 6.0158
angles (deg): 90.00 90.00 90.00
Closest atoms and distances in Å follow each position.
Fractional positions:
Li (0.0000, 0.0000, 0.5032)  2 Li 2.76, 5 W 2.82-3.00, 4 Tl 2.87
Tl (0.5000, 0.5000, 0.7279)  2 Tl 2.76, 4 Li 2.87, 2 W 2.97-3.05
W (0.0000, 0.0000, 0.0345)  6 W 2.76-2.80, 1 Li 2.82
W (0.5000, 0.5000, 0.2344)  6 W 2.76-2.80, 2 Tl 2.97-3.05, 4 Li 3.00

Spin magnetization (Bohr magnetons per cell): 0.0
Space-group type: No. 25
ΔE to the lowest computed polymorph (eV per formula unit): 0.69
Formation energy (eV per formula unit): 2.41

***

VASP calculation (PBE-GGA) on In4I2Cl after structural relaxation.

a b c (Å): 5.5776 5.5776 10.7646
angles (deg): 74.98 74.98 90.00
Closest atoms and distances in Å follow each position.
Fractional positions:
I (0.1845, 0.1845, 0.6310)  1 In 3.09
I (0.8155, 0.8155, 0.3690)  1 In 3.09
Cl (0.0000, 0.0000, 0.0000)  4 In 2.79
In (0.3389, 0.3389, 0.3223)  1 I 3.09
In (0.6611, 0.6611, 0.6777)  1 I 3.09
In (0.0000, 0.5000, 0.0000)  2 Cl 2.79
In (0.5000, 0.0000, 0.0000)  2 Cl 2.79

E_form (uncorrected) (eV per atom): -0.20
Spin magnetization (Bohr magnetons per cell): 0.0
Space-group type: No. 139

***

VASP calculation (PBE-GGA) on KCuIr2O after structural relaxation.

a b c (Å): 4.9416 3.7334 4.9416
angles (deg): 90.00 90.00 90.00
Closest atoms and distances in Å follow each position.
Fractional positions:
K (0.5000, 0.5000, 0.5000)  8 Ir 3.10
Ir (0.0000, 0.0000, 0.5000)  2 Cu 2.47
Ir (0.5000, 0.0000, 0.0000)  2 Cu 2.47
O (0.0000, 0.5000, 0.0000)  2 Cu 1.87
Cu (0.0000, 0.0000, 0.0000)  2 O 1.87

E_form (uncorrected) (eV per atom): 1.31
Spin magnetization (Bohr magnetons per cell): 2.9
Space-group type: No. 123

***

VASP calculation (PBE-GGA) on CaSi2Mo2 after structural relaxation.

a b c (Å): 7.8024 7.8024 2.7188
angles (deg): 90.00 90.00 90.00
Closest atoms and distances in Å follow each position.
Fractional positions:
Mo (0.3706, 0.8706, 0.0000)  6 Si 2.65-2.68, 3 Mo 2.72-2.86
Mo (0.8706, 0.6294, 0.0000)  6 Si 2.65-2.68, 3 Mo 2.72-2.86
Mo (0.6294, 0.1294, 0.0000)  6 Si 2.65-2.68, 3 Mo 2.72-2.86
Mo (0.1294, 0.3706, 0.0000)  6 Si 2.65-2.68, 3 Mo 2.72-2.86
Si (0.1642, 0.6642, 0.5000)  6 Mo 2.65-2.68, 2 Si 2.72
Si (0.6642, 0.8358, 0.5000)  6 Mo 2.65-2.68, 2 Si 2.72
Si (0.8358, 0.3358, 0.5000)  6 Mo 2.65-2.68, 2 Si 2.72
Si (0.3358, 0.1642, 0.5000)  6 Mo 2.65-2.68, 2 Si 2.72
Ca (0.0000, 0.0000, 0.0000)  2 Ca 2.72
Ca (0.5000, 0.5000, 0.0000)  2 Ca 2.72

E_form (uncorrected) (eV per atom): -0.05
Spin magnetization (Bohr magnetons per cell): 0.0
Space-group type: No. 127
ΔE to the lowest computed polymorph (eV per formula unit): 0.64

***

What is the spin magnetization in the third record? 0.0 Bohr magnetons per cell

***

Among the records above, which one has the highest spin magnetization? KCuIr2O

***

Repeat the fifth record exactly.
VASP calculation (PBE-GGA) on KCuIr2O after structural relaxation.

a b c (Å): 4.9416 3.7334 4.9416
angles (deg): 90.00 90.00 90.00
Closest atoms and distances in Å follow each position.
Fractional positions:
K (0.5000, 0.5000, 0.5000)  8 Ir 3.10
Ir (0.0000, 0.0000, 0.5000)  2 Cu 2.47
Ir (0.5000, 0.0000, 0.0000)  2 Cu 2.47
O (0.0000, 0.5000, 0.0000)  2 Cu 1.87
Cu (0.0000, 0.0000, 0.0000)  2 O 1.87

E_form (uncorrected) (eV per atom): 1.31
Spin magnetization (Bohr magnetons per cell): 2.9
Space-group type: No. 123

***

Which of these has the highest spin magnetization? KCuIr2O